# LiMgBe2, relaxed, DFT PBE
data_LiMgBe2
_cell_length_a 4.1346
_cell_length_b 4.1346
_cell_length_c 5.7985
_cell_angle_alpha 90.00
_cell_angle_beta 90.00
_cell_angle_gamma 90.00
_space_group_name_H-M_alt 'I -4 m 2'
_space_group_IT_number 119
_space_group_name_Hall 'I -4 -2'
loop_
_atom_site_label
_atom_site_type_symbol
_atom_site_fract_x
_atom_site_fract_y
_atom_site_fract_z
_atom_site_occupancy
Li1 Li 0.0000 0.0000 0.0000 1
Mg1 Mg 0.0000 0.5000 0.7500 1
Be1 Be 0.0000 0.0000 0.5000 1
Be2 Be 0.0000 0.5000 0.2500 1
# Crystal system ... tetragonal
# Formation energy from the elements ... 0.22 eV/atom
# Size of the total moment ... 0.00 μB/atom